No. 1
An optimized crystal structure of NdMgSi2Pd5, computed with PBE-GGA.

extended XYZ file:
```
9
Lattice="-4.128 0.715 0.381 -0.810 -3.589 -2.039 -0.045 -4.372 7.712" Properties=species:S:1:pos:R:3 pbc="T T T"
Pd -0.439 -5.048 4.719
Pd -0.416 -2.913 0.954
Pd -2.075 -0.761 2.164
Pd -2.491 -3.623 3.027
Pd -2.097 -2.896 5.929
Mg 0.000 0.000 0.000
Si -2.508 -5.246 5.890
Si -2.475 -2.000 0.163
Nd -0.023 -2.186 3.856
```

space group: P4/mmm, No. 123
uncorrected formation energy: -0.706 eV per atom



No. 2
An optimized crystal structure of TbNiAs2Rh2, computed with PBE-GGA.

extended XYZ file:
```
6
Lattice="-0.385 -1.728 4.106 -1.121 -3.951 -1.768 5.259 -1.442 -0.113" Properties=species:S:1:pos:R:3 pbc="T T T"
Ni 0.000 0.000 0.000
As -0.561 -1.976 -0.884
As -0.193 -0.864 2.053
Tb 2.629 -0.721 -0.057
Rh 0.610 -3.213 1.140
Rh 3.143 -3.907 1.085
```

E_tot: -6.028 eV/atom
space group: P4/mmm, No. 123



No. 3
An optimized crystal structure of BaGeTe3Au, computed with PBE-GGA.

extended XYZ file:
```
12
Lattice="4.435 0.000 0.000 0.000 9.137 0.022 0.000 -2.391 9.570" Properties=species:S:1:pos:R:3 pbc="T T T"
Te 3.326 7.702 1.176
Te 3.326 3.690 1.588
Te 1.109 -0.956 8.416
Te 3.326 0.982 5.283
Te 1.109 5.764 4.309
Te 1.109 3.056 8.004
Ge 1.109 5.692 1.238
Ge 3.326 1.054 8.353
Au 3.326 7.476 4.031
Au 1.109 -0.730 5.561
Ba 1.109 1.030 2.393
Ba 3.326 5.716 7.199
```

space group: P2_1/m, No. 11
uncorrected formation energy: -0.570 eV per atom